Mg2Cd2As | GGA-PBE | optimized geometry

Cell: 8.100 8.100 3.324 Å, 90.00 90.00 90.00°
Element x y z (fractional)
1 Mg 0.326 0.174 0.500
2 Mg 0.174 0.674 0.500
3 Mg 0.826 0.326 0.500
4 Mg 0.674 0.826 0.500
5 Cd 0.372 0.872 0.000
6 Cd 0.628 0.128 0.000
7 Cd 0.872 0.628 0.000
8 Cd 0.128 0.372 0.000
9 As 0.000 0.000 0.000
10 As 0.500 0.500 0.000

Computed properties:
* volume: 109 Å³/f.u.
* magnetic moment: 0.0000 μB/atom
* formation energy from the elements: 56 meV per atom
* E_tot: -1.878 eV/atom